DFT (GGA-PBE) results for a relaxed structure of TbCuGeTe3.

a = 4.131 Å, b = 8.696 Å, c = 9.341 Å
α = 99.38°, β = 90.00°, γ = 90.00°
Fractional positions:
1 Tb 0.250 0.160 0.250
2 Tb 0.750 0.840 0.750
3 Cu 0.250 0.065 0.572
4 Cu 0.750 0.935 0.428
5 Ge 0.250 0.655 0.149
6 Ge 0.750 0.345 0.851
7 Te 0.750 0.897 0.133
8 Te 0.250 0.103 0.867
9 Te 0.250 0.759 0.491
10 Te 0.750 0.241 0.509
11 Te 0.750 0.404 0.159
12 Te 0.250 0.596 0.841

Calculated values
Spin magnetization ... 0.000 μB per atom
Volume ... 27.6 Å³ per atom
Total energy ... -52.83 eV per cell
Formation energy (no corrections) ... -0.607 eV/atom
Space group ... P2_1/m (11)

DFT (GGA-PBE) results for a relaxed structure of Tb2ThCu2Ge2.

a = 4.164 Å, b = 4.164 Å, c = 11.000 Å
α = 79.09°, β = 79.09°, γ = 60.00°
Fractional positions:
1 Tb 0.122 0.122 0.633
2 Tb 0.878 0.878 0.367
3 Th 0.000 0.000 0.000
4 Cu 0.607 0.607 0.178
5 Cu 0.393 0.393 0.822
6 Ge 0.734 0.734 0.797
7 Ge 0.266 0.266 0.203

Calculated values
Spin magnetization ... 0.000 μB per atom
Volume ... 23.0 Å³ per atom
Total energy ... -37.44 eV per cell
Formation energy from the elements ... -0.477 eV per atom
Space group ... R-3m (166)